# 1
Crystalline LiPm4Ga5 at its relaxed geometry, computed with GGA-PBE.

abc: 3.4796 3.4796 18.9775
angles: 90.00 90.00 90.00
With the nearest neighbours (Å) after each atom.
Sites, in units of the cell vectors:
Pm 0.0000 0.0000 0.8198  8 Ga 3.19, 1 Li 3.42, 4 Pm 3.48
Ga 0.5000 0.5000 0.9266  1 Ga 2.78, 4 Li 2.83
Ga 0.5000 0.5000 0.0734  1 Ga 2.78, 4 Li 2.83
Pm 0.0000 0.0000 0.1802  8 Ga 3.19, 1 Li 3.42, 4 Pm 3.48
Li 0.0000 0.0000 0.0000  8 Ga 2.83
Ga 0.5000 0.5000 0.2871  8 Pm 3.18-3.19, 4 Ga 3.48
Pm 0.0000 0.0000 0.3934  8 Ga 3.18-3.19, 4 Pm 3.48
Pm 0.0000 0.0000 0.6066  8 Ga 3.18-3.19, 4 Pm 3.48
Ga 0.5000 0.5000 0.7129  8 Pm 3.18-3.19, 4 Ga 3.48
Ga 0.5000 0.5000 0.5000  8 Pm 3.19, 4 Ga 3.48

calculated volume: 22.98 A^3/atom
space group: No. 123
energy relative to the elements: -5.00 eV per formula unit
density: 6.8 g/cm3

# 2
Crystalline LiPm3Ga2 at its relaxed geometry, computed with GGA-PBE.

abc: 5.2158 5.2158 12.8026
angles: 90.00 90.00 120.00
With the nearest neighbours (Å) after each atom.
Sites, in units of the cell vectors:
Pm 0.0000 0.0000 0.7575  5 Ga 3.10-3.30, 3 Li 3.20
Pm 0.3333 0.6667 0.9227  7 Ga 3.17-3.28, 1 Li 3.20
Ga 0.3333 0.6667 0.1784  8 Pm 3.06-3.28
Pm 0.0000 0.0000 0.2425  5 Ga 3.10-3.30, 3 Li 3.20
Li 0.6667 0.3333 0.3272  8 Pm 3.20-3.27, 3 Ga 3.56
Ga 0.0000 0.0000 0.5000  8 Pm 3.19-3.30
Pm 0.3333 0.6667 0.4177  4 Ga 3.06-3.19, 4 Li 3.23-3.27
Ga 0.6667 0.3333 0.8216  8 Pm 3.06-3.28
Li 0.3333 0.6667 0.6728  8 Pm 3.20-3.27, 3 Ga 3.56
Pm 0.6667 0.3333 0.0773  7 Ga 3.17-3.28, 1 Li 3.20
Pm 0.6667 0.3333 0.5823  4 Ga 3.06-3.19, 4 Li 3.23-3.27
Ga 0.0000 0.0000 0.0000  8 Pm 3.10-3.17

calculated volume: 25.14 A^3/atom
polymorph energy (0 for the lowest one): 0.000 eV per atom
space group: No. 164
energy relative to the elements: -2.37 eV per formula unit
density: 6.4 g/cm3